# 1
The following is a GGA-PBE calculation of a geometry-optimized HoSc2Cd5 structure, from the Alexandria database.

Cell lengths 4.9949, 4.9949, 8.0692 Å; angles 108.03, 108.03, 90.00 degrees
Element x y z (fractional)
Ho 0.0000 0.0000 0.0000
Cd 0.6286 0.1286 0.2571
Cd 0.5000 0.5000 0.0000
Cd 0.3714 0.8714 0.7429
Cd 0.1286 0.6286 0.2571
Cd 0.8714 0.3714 0.7429
Sc 0.2588 0.2588 0.5175
Sc 0.7412 0.7412 0.4825

Values from the calculation:
**Space-group type**: No. 139
**Theoretical density**: 7.49 Mg/m³
**ΔE_f**: -271 meV/atom

***

# 2
The following is a GGA-PBE calculation of a geometry-optimized CuSb2Cl structure, from the Alexandria database.

Cell lengths 5.0975, 4.2799, 4.2799 Å; angles 90.00, 90.00, 90.00 degrees
Element x y z (fractional)
Cu 0.5000 0.0000 0.5000
Sb 0.0000 0.5000 0.5000
Sb 0.0000 0.0000 0.0000
Cl 0.5000 0.5000 0.0000

Values from the calculation:
**Space-group type**: No. 123
**Theoretical density**: 6.09 Mg/m³
**Raw formation energy**: 0.361 eV/atom

***

# 3
The following is a GGA-PBE calculation of a geometry-optimized TlIrI3 structure, from the Alexandria database.

Cell lengths 5.5095, 5.5095, 5.5095 Å; angles 90.00, 90.00, 90.00 degrees
Element x y z (fractional)
I 0.0000 0.0000 0.5000
Ir 0.0000 0.0000 0.0000
Tl 0.5000 0.5000 0.5000
I 0.5000 0.0000 0.0000
I 0.0000 0.5000 0.0000

Values from the calculation:
**Space-group type**: No. 221
**Theoretical density**: 7.72 Mg/m³
**Raw formation energy**: 0.037 eV/atom

***

# 4
The following is a GGA-PBE calculation of a geometry-optimized Tb4CO structure, from the Alexandria database.

Cell lengths 3.5702, 6.0570, 6.1186 Å; angles 92.60, 90.00, 90.00 degrees
Element x y z (fractional)
Tb 0.5000 0.2280 0.8446
Tb 0.0000 0.7764 0.6593
C 0.0000 0.0000 0.0000
O 0.5000 0.0000 0.5000
Tb 0.5000 0.7720 0.1554
Tb 0.0000 0.2236 0.3407

Values from the calculation:
**Space-group type**: No. 10
**Theoretical density**: 8.34 Mg/m³
**Raw formation energy**: -1.038 eV/atom

***

# 5
The following is a GGA-PBE calculation of a geometry-optimized Sr2ZrBr structure, from the Alexandria database.

Cell lengths 6.6728, 6.6728, 6.2920 Å; angles 69.65, 69.65, 31.77 degrees
Element x y z (fractional)
Sr 0.9710 0.9710 0.0658
Zr 0.5446 0.5446 0.5167
Br 0.2072 0.2072 0.2000
Sr 0.7771 0.7771 0.7175

Values from the calculation:
**Space-group type**: No. 8
**Theoretical density**: 4.18 Mg/m³
**Raw formation energy**: -0.142 eV/atom

***

# 6
The following is a GGA-PBE calculation of a geometry-optimized Ti8Ga2C3 structure, from the Alexandria database.

Cell lengths 5.4513, 6.1756, 7.0801 Å; angles 115.86, 105.08, 90.00 degrees
Element x y z (fractional)
Ga 0.6563 0.7475 0.4950
C 0.5000 0.0000 0.0000
Ti 0.3881 0.8404 0.1757
Ti 0.9324 0.5996 0.1992
C 0.0000 0.2471 0.0000
Ti 0.1009 0.9074 0.8148
Ti 0.6119 0.1596 0.8243
Ti 0.3881 0.3353 0.1757
Ti 0.6119 0.6647 0.8243
C 0.0000 0.7529 0.0000
Ga 0.3437 0.2525 0.5050
Ti 0.0676 0.4004 0.8008
Ti 0.8991 0.0926 0.1852

Values from the calculation:
**Space-group type**: No. 12
**Theoretical density**: 4.52 Mg/m³
**ΔE_f**: -379 meV/atom

***

# 7
The following is a GGA-PBE calculation of a geometry-optimized Dy4TmSc6 structure, from the Alexandria database.

Cell lengths 3.3546, 10.3318, 10.3318 Å; angles 120.00, 90.00, 90.00 degrees
Element x y z (fractional)
Sc 0.0000 0.4934 0.9868
Dy 0.5000 0.7986 0.5972
Sc 0.5000 0.1709 0.8291
Sc 0.5000 0.1709 0.3417
Tm 0.0000 0.0000 0.0000
Sc 0.5000 0.6583 0.8291
Sc 0.0000 0.0132 0.5066
Dy 0.5000 0.7986 0.2014
Sc 0.0000 0.4934 0.5066
Dy 0.0000 0.3333 0.6667
Dy 0.5000 0.4028 0.2014

Values from the calculation:
**Space-group type**: No. 187
**Theoretical density**: 5.83 Mg/m³
**ΔE_f**: 177 meV/atom

***

# 8
The following is a GGA-PBE calculation of a geometry-optimized Nd2In9Pt3 structure, from the Alexandria database.

Cell lengths 8.3515, 8.3515, 11.5333 Å; angles 90.02, 111.22, 119.98 degrees
Element x y z (fractional)
In 0.6685 0.7010 0.7509
In 0.5499 0.0824 0.2509
In 0.3315 0.2990 0.2491
Pt 0.5000 0.0000 0.0000
In 0.1161 0.8661 0.2500
Pt 0.1668 0.8335 0.5001
In 0.1083 0.1416 0.4241
Pt 0.8334 0.6668 0.9999
In 0.2084 0.5162 0.5751
In 0.4411 0.6333 0.9249
Nd 0.3332 0.2480 0.7485
In 0.8917 0.8584 0.5759
In 0.4501 0.9176 0.7491
Pt 0.8332 0.1665 0.4999
In 0.2175 0.6843 0.0759
In 0.4554 0.8035 0.4344
Nd 0.9995 0.5847 0.7515
In 0.7825 0.3157 0.9241
In 0.7916 0.4838 0.4249
Nd 0.0005 0.4153 0.2485
In 0.1308 0.9790 0.9344
Nd 0.6668 0.7520 0.2515
In 0.8839 0.1339 0.7500
Pt 0.1666 0.3332 0.0001
In 0.8692 0.0210 0.0656
In 0.5589 0.3667 0.0751
In 0.5446 0.1965 0.5656
Pt 0.5000 0.5000 0.5000

Values from the calculation:
**Space-group type**: No. 15
**Theoretical density**: 10.01 Mg/m³
**ΔE_f**: -486 meV/atom

***

# 9
The following is a GGA-PBE calculation of a geometry-optimized NaTi2InRe structure, from the Alexandria database.

Cell lengths 4.5741, 4.6436, 4.5741 Å; angles 90.00, 90.00, 90.00 degrees
Element x y z (fractional)
Na 0.0000 0.0000 0.0000
Ti 0.0000 0.0000 0.5000
Ti 0.5000 0.0000 0.0000
Re 0.5000 0.5000 0.5000
In 0.0000 0.5000 0.0000

Values from the calculation:
**Space-group type**: No. 123
**Theoretical density**: 7.17 Mg/m³
**ΔE_f**: 1834 meV/atom

***

# 10
The following is a GGA-PBE calculation of a geometry-optimized Rb2SiF5 structure, from the Alexandria database.

Cell lengths 6.1791, 6.1791, 6.0390 Å; angles 120.78, 120.77, 90.00 degrees
Element x y z (fractional)
Rb 0.2448 0.7449 0.4897
F 0.2006 0.7969 0.9975
F 0.2006 0.2006 0.9975
F 0.7969 0.2006 0.9975
F 0.7936 0.7936 0.5873
F 0.7969 0.7969 0.9975
Si 0.9986 0.9986 0.9972
Rb 0.7448 0.2448 0.4897

Values from the calculation:
**Space-group type**: No. 107
**Theoretical density**: 3.07 Mg/m³
**Raw formation energy**: -2.786 eV/atom

***

# 11
The following is a GGA-PBE calculation of a geometry-optimized Mn3Re2 structure, from the Alexandria database.

Cell lengths 7.6035, 6.6145, 4.9748 Å; angles 80.65, 59.14, 40.21 degrees
Element x y z (fractional)
Re 0.8963 0.7099 0.0343
Mn 0.0589 0.9411 0.9411
Mn 0.7446 0.4492 0.3655
Mn 0.8008 0.5054 0.8093
Mn 0.8845 0.8093 0.5054
Re 0.5401 0.3537 0.8905
Mn 0.3089 0.1911 0.1911
Re 0.3595 0.0343 0.7099
Re 0.2157 0.8905 0.3537
Mn 0.4407 0.3655 0.4492

Values from the calculation:
**Space-group type**: No. 43
**Theoretical density**: 14.14 Mg/m³
**ΔE_f**: 87 meV/atom

***

# 12
The following is a GGA-PBE calculation of a geometry-optimized HfPaTcAu structure, from the Alexandria database.

Cell lengths 4.8616, 4.8616, 4.8616 Å; angles 60.00, 60.00, 60.00 degrees
Element x y z (fractional)
Pa 0.2500 0.2500 0.2500
Hf 0.7500 0.7500 0.7500
Tc 0.5000 0.5000 0.5000
Au 0.0000 0.0000 0.0000

Values from the calculation:
**Space-group type**: No. 216
**Theoretical density**: 14.40 Mg/m³
**ΔE_f**: -195 meV/atom

***

# 13
The following is a GGA-PBE calculation of a geometry-optimized Tb2ScAlO6 structure, from the Alexandria database.

Cell lengths 5.3505, 5.5978, 7.7144 Å; angles 90.00, 89.67, 90.00 degrees
Element x y z (fractional)
O 0.3928 0.9620 0.7615
Sc 0.0000 0.5000 0.0000
Tb 0.5169 0.5608 0.7499
O 0.6072 0.0380 0.2385
Sc 0.5000 0.0000 0.5000
O 0.2905 0.6895 0.4458
O 0.1866 0.2091 0.4420
O 0.6866 0.2909 0.9420
O 0.2095 0.1895 0.0542
O 0.8928 0.5380 0.2615
O 0.3134 0.7091 0.0580
O 0.8134 0.7909 0.5580
O 0.7095 0.3105 0.5542
Al 0.0000 0.5000 0.5000
Tb 0.4831 0.4392 0.2501
Al 0.5000 0.0000 0.0000
Tb 0.9831 0.0608 0.7501
O 0.1072 0.4620 0.7385
Tb 0.0169 0.9392 0.2499
O 0.7905 0.8105 0.9458

Values from the calculation:
**Space-group type**: No. 14
**Theoretical density**: 6.98 Mg/m³
**Raw formation energy**: -3.419 eV/atom

***

# 14
The following is a GGA-PBE calculation of a geometry-optimized GeS5F structure, from the Alexandria database.

Cell lengths 5.1001, 4.4317, 9.3411 Å; angles 92.53, 104.70, 102.58 degrees
Element x y z (fractional)
S 0.9024 0.9450 0.0665
S 0.5474 0.1621 0.5545
S 0.6783 0.5621 0.1408
S 0.9653 0.3089 0.2285
Ge 0.0043 0.2329 0.7369
S 0.4004 0.4846 0.6444
F 0.0325 0.8352 0.6898

Values from the calculation:
**Space-group type**: No. 1
**Theoretical density**: 2.11 Mg/m³
**Raw formation energy**: -0.340 eV/atom

***

# 15
The following is a GGA-PBE calculation of a geometry-optimized SmAuSe2 structure, from the Alexandria database.

Cell lengths 4.4169, 4.4169, 8.2032 Å; angles 74.38, 74.38, 60.00 degrees
Element x y z (fractional)
Sm 0.5000 0.5000 0.5000
Se 0.8962 0.8962 0.3114
Se 0.1038 0.1038 0.6886
Au 0.0000 0.0000 0.0000

Values from the calculation:
**Space-group type**: No. 166
**Theoretical density**: 6.37 Mg/m³
**Raw formation energy**: -1.122 eV/atom

***

# 16
The following is a GGA-PBE calculation of a geometry-optimized Ba2MgCl structure, from the Alexandria database.

Cell lengths 4.2294, 4.4352, 9.3312 Å; angles 89.97, 90.00, 90.00 degrees
Element x y z (fractional)
Cl 0.5000 0.2500 0.2500
Ba 0.0000 0.2497 0.9881
Ba 0.0000 0.2503 0.5119
Mg 0.5000 0.7500 0.7500

Values from the calculation:
**Space-group type**: No. 47
**Theoretical density**: 3.17 Mg/m³
**Raw formation energy**: -0.856 eV/atom

***

# 17
The following is a GGA-PBE calculation of a geometry-optimized TmThBi2N structure, from the Alexandria database.

Cell lengths 4.2026, 4.2026, 15.1035 Å; angles 90.00, 90.00, 90.00 degrees
Element x y z (fractional)
N 0.0000 0.0000 0.5000
Th 0.0000 0.5000 0.4275
Tm 0.0000 0.5000 0.9327
Tm 0.5000 0.0000 0.0673
Bi 0.5000 0.0000 0.2758
Th 0.5000 0.0000 0.5725
Bi 0.0000 0.5000 0.7242
Bi 0.5000 0.0000 0.8576
N 0.5000 0.5000 0.5000
Bi 0.0000 0.5000 0.1424

Values from the calculation:
**Space-group type**: No. 129
**Theoretical density**: 10.37 Mg/m³
**Raw formation energy**: -0.894 eV/atom

***

# 18
The following is a GGA-PBE calculation of a geometry-optimized Pm2AsCl structure, from the Alexandria database.

Cell lengths 4.1071, 4.1071, 7.6603 Å; angles 74.45, 74.45, 60.00 degrees
Element x y z (fractional)
Pm 0.2604 0.2604 0.2190
Cl 0.4985 0.4985 0.5046
Pm 0.0731 0.0731 0.7807
As 0.6681 0.6681 0.9958

Values from the calculation:
**Space-group type**: No. 160
**Theoretical density**: 6.25 Mg/m³
**Raw formation energy**: -1.488 eV/atom

***

# 19
The following is a GGA-PBE calculation of a geometry-optimized SrCa2Tl2Cd2 structure, from the Alexandria database.

Cell lengths 5.0918, 5.0918, 10.2380 Å; angles 75.60, 75.60, 60.00 degrees
Element x y z (fractional)
Ca 0.8714 0.8714 0.3858
Cd 0.4045 0.4045 0.7866
Tl 0.7497 0.7497 0.7508
Ca 0.1286 0.1286 0.6142
Cd 0.5955 0.5955 0.2134
Sr 0.0000 0.0000 0.0000
Tl 0.2503 0.2503 0.2492

Values from the calculation:
**Space-group type**: No. 166
**Theoretical density**: 6.04 Mg/m³
**ΔE_f**: -296 meV/atom

***

# 20
The following is a GGA-PBE calculation of a geometry-optimized LaPmNd4Sm2 structure, from the Alexandria database.

Cell lengths 3.6821, 12.2169, 6.3519 Å; angles 79.70, 90.00, 90.00 degrees
Element x y z (fractional)
Pm 0.0000 0.5000 0.5000
Sm 0.0000 0.0000 0.0000
Nd 0.0000 0.2473 0.2513
La 0.5000 0.5000 0.0000
Nd 0.5000 0.2482 0.7507
Sm 0.5000 0.0000 0.5000
Nd 0.5000 0.7518 0.2493
Nd 0.0000 0.7527 0.7487

Values from the calculation:
**Space-group type**: No. 10
**Theoretical density**: 6.86 Mg/m³
**ΔE_f**: 16 meV/atom